A relaxed SnHRh3 crystal, computed with GGA-PBE.

Output
Its density of states at the Fermi level is 6.31 states/eV/cell. Its distance to the lowest polymorph of the same formula is 113 meV per atom. As for the raw total energy: -6.076 eV/atom. The symmetry is C2/m, No. 12.

Cell: 8.652 8.652 4.072 Å, 103.60 103.60 26.06°
Sites, in units of the cell vectors:
1 Sn 0.074 0.074 0.324
2 Sn 0.926 0.926 0.676
3 H 0.321 0.321 0.072
4 H 0.679 0.679 0.928
5 Rh 0.193 0.193 0.942
6 Rh 0.314 0.314 0.563
7 Rh 0.440 0.440 0.190
8 Rh 0.560 0.560 0.810
9 Rh 0.686 0.686 0.437
10 Rh 0.807 0.807 0.058


A relaxed Sn2HRh3 crystal, computed with GGA-PBE.

Output
Its density of states at the Fermi level is 6.95 states/eV/cell. As for the raw total energy: -5.777 eV/atom. The symmetry is Cmc2_1, No. 36.

Cell: 6.237 6.237 5.408 Å, 90.00 90.00 62.47°
Sites, in units of the cell vectors:
1 Sn 0.019 0.310 0.000
2 Sn 0.310 0.019 0.500
3 Sn 0.690 0.981 0.000
4 Sn 0.981 0.690 0.500
5 H 0.458 0.542 0.011
6 H 0.542 0.458 0.511
7 Rh 0.157 0.843 0.062
8 Rh 0.355 0.383 0.764
9 Rh 0.383 0.355 0.264
10 Rh 0.617 0.645 0.764
11 Rh 0.645 0.617 0.264
12 Rh 0.843 0.157 0.562


Look up the raw total energy of the second one. -5.777 eV/atom


Which formula does entry 2 have? Sn2HRh3